# 1
A plane-wave DFT calculation with PBE was carried out for crystalline BaPmTlHg at its relaxed geometry.

Values from the calculation:
- ΔE_f (meV per atom) = -344
- D(E_F) (states/eV per cell) = 13.9
- mass density (g cm⁻³) = 8.6
- total DFT energy (no corrections) (eV/cell) = -42.88

a b c (Å): 8.105 8.105 8.105
angles (deg): 90.00 90.00 90.00
Space group F-43m (No. 216)
Unique sites:
Ba: 0.000 0.000 0.000 (multiplicity 4)
Pm: 0.000 0.000 0.500 (multiplicity 4)
Tl: 0.250 0.250 0.750 (multiplicity 4)
Hg: 0.250 0.250 0.250 (multiplicity 4)

# 2
A plane-wave DFT calculation with PBE was carried out for crystalline SrCd7Cu5 at its relaxed geometry.

Values from the calculation:
- ΔE_f (meV per atom) = -56
- D(E_F) (states/eV per cell) = 12.3
- mass density (g cm⁻³) = 8.0
- total DFT energy (no corrections) (eV/cell) = -58.60

a b c (Å): 5.338 9.595 9.660
angles (deg): 90.00 90.00 90.00
Space group Imm2 (No. 44)
Unique sites:
Sr: 0.000 0.000 0.000 (multiplicity 2)
Cd: 0.000 0.000 0.334 (multiplicity 2)
Cd: 0.000 0.000 0.648 (multiplicity 2)
Cd: 0.000 0.290 0.492 (multiplicity 4)
Cd: 0.000 0.346 0.982 (multiplicity 4)
Cd: 0.000 0.500 0.266 (multiplicity 2)
Cu: 0.000 0.500 0.717 (multiplicity 2)
Cu: 0.248 0.259 0.738 (multiplicity 8)

# 3
A plane-wave DFT calculation with PBE was carried out for crystalline Ba3Tl5In6 at its relaxed geometry.

Values from the calculation:
- ΔE_f (meV per atom) = -305
- D(E_F) (states/eV per cell) = 10.9
- mass density (g cm⁻³) = 7.8
- total DFT energy (no corrections) (eV/cell) = -76.61

a b c (Å): 5.052 15.026 11.902
angles (deg): 90.00 90.00 90.00
Space group Pmmn (No. 59, origin choice 2)
Unique sites:
Ba: 0.250 0.065 0.249 (multiplicity 4)
Ba: 0.250 0.750 0.251 (multiplicity 2)
Tl: 0.250 0.081 0.621 (multiplicity 4)
Tl: 0.250 0.597 0.975 (multiplicity 4)
Tl: 0.250 0.750 0.750 (multiplicity 2)
In: 0.250 0.096 0.875 (multiplicity 4)
In: 0.250 0.250 0.043 (multiplicity 2)
In: 0.250 0.250 0.457 (multiplicity 2)
In: 0.250 0.611 0.524 (multiplicity 4)

# 4
A plane-wave DFT calculation with PBE was carried out for crystalline Ge2Pd8Pb at its relaxed geometry.

Values from the calculation:
- ΔE_f (meV per atom) = -381
- D(E_F) (states/eV per cell) = 10.7
- mass density (g cm⁻³) = 11.1
- total DFT energy (no corrections) (eV/cell) = -117.34

a b c (Å): 14.862 3.993 6.530
angles (deg): 90.00 111.64 90.00
Space group C2/m (No. 12)
Unique sites:
Ge: 0.194 0.000 0.183 (multiplicity 4)
Pd: 0.036 0.000 0.237 (multiplicity 4)
Pd: 0.097 0.500 0.978 (multiplicity 4)
Pd: 0.178 0.500 0.444 (multiplicity 4)
Pd: 0.186 0.000 0.788 (multiplicity 4)
Pb: 0.000 0.500 0.500 (multiplicity 2)

# 5
A plane-wave DFT calculation with PBE was carried out for crystalline NaI2OF at its relaxed geometry.

Values from the calculation:
- D(E_F) (states/eV per cell) = 3.8
- formation energy from raw total energies (eV/atom) = -0.0772
- mass density (g cm⁻³) = 4.1
- total DFT energy (no corrections) (eV/cell) = -11.63

a b c (Å): 4.993 4.993 5.086
angles (deg): 90.00 90.00 90.00
Space group P4/mmm (No. 123)
Unique sites:
Na: 0.000 0.000 0.000 (multiplicity 1)
I: 0.000 0.500 0.500 (multiplicity 2)
O: 0.500 0.500 0.000 (multiplicity 1)
F: 0.500 0.500 0.500 (multiplicity 1)

# 6
A plane-wave DFT calculation with PBE was carried out for crystalline CoBAs3 at its relaxed geometry.

Values from the calculation:
- ΔE_f (meV per atom) = 993
- D(E_F) (states/eV per cell) = 5.4
- mass density (g cm⁻³) = 6.2
- total DFT energy (no corrections) (eV/cell) = -22.77

a b c (Å): 4.292 4.292 4.292
angles (deg): 90.00 90.00 90.00
Space group Pm-3m (No. 221)
Unique sites:
Co: 0.000 0.000 0.000 (multiplicity 1)
B: 0.500 0.500 0.500 (multiplicity 1)
As: 0.000 0.500 0.500 (multiplicity 3)

# 7
A plane-wave DFT calculation with PBE was carried out for crystalline HoCu8 at its relaxed geometry.

Values from the calculation:
- ΔE_f (meV per atom) = 21
- D(E_F) (states/eV per cell) = 8.2
- mass density (g cm⁻³) = 9.0
- total DFT energy (no corrections) (eV/cell) = -74.31

a b c (Å): 8.808 7.905 3.973
angles (deg): 90.00 116.12 90.00
Space group C2/m (No. 12)
Unique sites:
Ho: 0.000 0.000 0.000 (multiplicity 2)
Cu: 0.000 0.345 0.000 (multiplicity 4)
Cu: 0.155 0.500 0.652 (multiplicity 4)
Cu: 0.179 0.180 0.680 (multiplicity 8)

# 8
A plane-wave DFT calculation with PBE was carried out for crystalline Nd2Ni5Ge3H2 at its relaxed geometry.

Values from the calculation:
- D(E_F) (states/eV per cell) = 19.3
- mass density (g cm⁻³) = 7.9
- total DFT energy (no corrections) (eV/cell) = -127.02

a b c (Å): 4.013 4.013 20.845
angles (deg): 90.00 90.00 90.00
Space group I4/mmm (No. 139)
Unique sites:
Nd: 0.000 0.000 0.192 (multiplicity 4)
Ni: 0.000 0.000 0.000 (multiplicity 2)
Ni: 0.000 0.500 0.075 (multiplicity 8)
Ge: 0.000 0.000 0.353 (multiplicity 4)
Ge: 0.000 0.000 0.500 (multiplicity 2)
H: 0.000 0.000 0.077 (multiplicity 4)

# 9
A plane-wave DFT calculation with PBE was carried out for crystalline Ti2Nb2Pd at its relaxed geometry.

Values from the calculation:
- ΔE_f (meV per atom) = 188
- D(E_F) (states/eV per cell) = 8.3
- mass density (g cm⁻³) = 7.2
- total DFT energy (no corrections) (eV/cell) = -80.36

a b c (Å): 7.021 7.021 3.653
angles (deg): 90.00 90.00 90.00
Space group P4/mbm (No. 127)
Unique sites:
Ti: 0.165 0.335 0.000 (multiplicity 4)
Nb: 0.135 0.635 0.500 (multiplicity 4)
Pd: 0.000 0.000 0.500 (multiplicity 2)

# 10
A plane-wave DFT calculation with PBE was carried out for crystalline LaGdCuRu at its relaxed geometry.

Values from the calculation:
- ΔE_f (meV per atom) = -218
- D(E_F) (states/eV per cell) = 9.9
- mass density (g cm⁻³) = 8.7
- total DFT energy (no corrections) (eV/cell) = -133.01

a b c (Å): 7.068 7.068 7.068
angles (deg): 90.00 90.00 90.00
Space group F-43m (No. 216)
Unique sites:
La: 0.000 0.000 0.000 (multiplicity 4)
Gd: 0.000 0.000 0.500 (multiplicity 4)
Cu: 0.250 0.250 0.750 (multiplicity 4)
Ru: 0.250 0.250 0.250 (multiplicity 4)

# 11
A plane-wave DFT calculation with PBE was carried out for crystalline KNa2La2 at its relaxed geometry.

Values from the calculation:
- ΔE_f (meV per atom) = 344
- D(E_F) (states/eV per cell) = 14.4
- mass density (g cm⁻³) = 2.8
- total DFT energy (no corrections) (eV/cell) = -23.74

a b c (Å): 10.878 10.878 3.645
angles (deg): 90.00 90.00 90.00
Space group P4/mbm (No. 127)
Unique sites:
K: 0.000 0.000 0.000 (multiplicity 2)
Na: 0.190 0.310 0.500 (multiplicity 4)
La: 0.094 0.594 0.000 (multiplicity 4)

# 12
A plane-wave DFT calculation with PBE was carried out for crystalline Tb2CuPd4 at its relaxed geometry.

Values from the calculation:
- ΔE_f (meV per atom) = -355
- D(E_F) (states/eV per cell) = 7.3
- mass density (g cm⁻³) = 8.8
- total DFT energy (no corrections) (eV/cell) = -73.22

a b c (Å): 5.687 7.669 7.196
angles (deg): 90.00 103.90 90.00
Space group C2/m (No. 12)
Unique sites:
Tb: 0.087 0.000 0.262 (multiplicity 4)
Cu: 0.000 0.500 0.000 (multiplicity 2)
Pd: 0.124 0.500 0.356 (multiplicity 4)
Pd: 0.250 0.250 0.000 (multiplicity 4)

# 13
A plane-wave DFT calculation with PBE was carried out for crystalline K2USe3O at its relaxed geometry.

Values from the calculation:
- formation energy from raw total energies (eV/atom) = -1.5628
- mass density (g cm⁻³) = 4.7
- total DFT energy (no corrections) (eV/cell) = -79.67

a b c (Å): 4.196 5.517 17.527
angles (deg): 90.00 90.00 90.00
Space group Immm (No. 71)
Unique sites:
K: 0.000 0.000 0.155 (multiplicity 4)
U: 0.000 0.000 0.500 (multiplicity 2)
Se: 0.000 0.000 0.349 (multiplicity 4)
Se: 0.000 0.500 0.500 (multiplicity 2)
O: 0.000 0.500 0.000 (multiplicity 2)

# 14
A plane-wave DFT calculation with PBE was carried out for crystalline YPuSN at its relaxed geometry.

Values from the calculation:
- D(E_F) (states/eV per cell) = 18.1
- formation energy from raw total energies (eV/atom) = -1.6499
- mass density (g cm⁻³) = 8.7
- total DFT energy (no corrections) (eV/cell) = -119.55

a b c (Å): 3.6531 3.6531 18.8190
angles (deg): 90.00 90.00 120.00
Space group R3m (No. 160, hexagonal axes)
Unique sites:
Y: 0.0000 0.0000 0.0000 (multiplicity 3)
Pu: 0.0000 0.0000 0.5247 (multiplicity 3)
S: 0.0000 0.0000 0.7613 (multiplicity 3)
N: 0.0000 0.0000 0.2623 (multiplicity 3)

# 15
A plane-wave DFT calculation with PBE was carried out for crystalline NaAsS2 at its relaxed geometry.

Values from the calculation:
- formation energy from raw total energies (eV/atom) = -0.5030
- mass density (g cm⁻³) = 3.2
- total DFT energy (no corrections) (eV/cell) = -48.71

a b c (Å): 3.7485 3.7485 20.4896
angles (deg): 90.00 90.00 120.00
Space group R3m (No. 160, hexagonal axes)
Unique sites:
Na: 0.0000 0.0000 0.0000 (multiplicity 3)
As: 0.0000 0.0000 0.1683 (multiplicity 3)
S: 0.0000 0.0000 0.5725 (multiplicity 3)
S: 0.0000 0.0000 0.7639 (multiplicity 3)

# 16
A plane-wave DFT calculation with PBE was carried out for crystalline PrLuHg2 at its relaxed geometry.

Values from the calculation:
- ΔE_f (meV per atom) = -447
- D(E_F) (states/eV per cell) = 17.1
- mass density (g cm⁻³) = 11.1
- total DFT energy (no corrections) (eV/cell) = -46.76

a b c (Å): 7.540 7.540 7.540
angles (deg): 90.00 90.00 90.00
Space group Fm-3m (No. 225)
Unique sites:
Pr: 0.000 0.000 0.000 (multiplicity 4)
Lu: 0.000 0.000 0.500 (multiplicity 4)
Hg: 0.250 0.250 0.250 (multiplicity 8)

# 17
A plane-wave DFT calculation with PBE was carried out for crystalline Fe2AgAu at its relaxed geometry.

Values from the calculation:
- ΔE_f (meV per atom) = 360
- D(E_F) (states/eV per cell) = 12.8
- mass density (g cm⁻³) = 11.4
- total DFT energy (no corrections) (eV/cell) = -64.84

a b c (Å): 2.7702 2.7702 27.4325
angles (deg): 90.00 90.00 120.00
Space group R-3m (No. 166, hexagonal axes)
Unique sites:
Fe: 0.0000 0.0000 0.2495 (multiplicity 6)
Ag: 0.0000 0.0000 0.0000 (multiplicity 3)
Au: 0.0000 0.0000 0.5000 (multiplicity 3)

# 18
A plane-wave DFT calculation with PBE was carried out for crystalline Cd2WBr at its relaxed geometry.

Values from the calculation:
- D(E_F) (states/eV per cell) = 5.6
- formation energy from raw total energies (eV/atom) = 0.6825
- mass density (g cm⁻³) = 10.0
- total DFT energy (no corrections) (eV/cell) = -27.45

a b c (Å): 6.005 8.949 3.017
angles (deg): 90.00 90.00 90.00
Space group Cmmm (No. 65)
Unique sites:
Cd: 0.250 0.250 0.000 (multiplicity 4)
W: 0.000 0.000 0.500 (multiplicity 2)
Br: 0.000 0.500 0.500 (multiplicity 2)

# 19
A plane-wave DFT calculation with PBE was carried out for crystalline RbSn2Pt2 at its relaxed geometry.

Values from the calculation:
- ΔE_f (meV per atom) = -404
- D(E_F) (states/eV per cell) = 3.7
- mass density (g cm⁻³) = 8.7
- total DFT energy (no corrections) (eV/cell) = -46.15

a b c (Å): 4.852 4.852 11.505
angles (deg): 90.00 90.00 90.00
Space group I4/mmm (No. 139)
Unique sites:
Rb: 0.000 0.000 0.000 (multiplicity 2)
Sn: 0.000 0.000 0.350 (multiplicity 4)
Pt: 0.000 0.500 0.250 (multiplicity 4)

# 20
A plane-wave DFT calculation with PBE was carried out for crystalline MnCdP2 at its relaxed geometry.

Values from the calculation:
- ΔE_f (meV per atom) = 80
- D(E_F) (states/eV per cell) = 10.0
- mass density (g cm⁻³) = 4.6
- total DFT energy (no corrections) (eV/cell) = -82.34

a b c (Å): 5.625 5.625 10.452
angles (deg): 90.00 90.00 90.00
Space group I-42d (No. 122)
Unique sites:
Mn: 0.000 0.000 0.000 (multiplicity 4)
Cd: 0.000 0.000 0.500 (multiplicity 4)
P: 0.175 0.250 0.125 (multiplicity 8)